NaTmTl3: relaxed, PBE.

a b c (Å): 5.789 6.348 9.204
angles (deg): 110.17 108.32 90.00
Atoms (fractional coordinates):
Na 0.405 0.157 0.313
Na 0.595 0.843 0.687
Tm 0.189 0.438 0.876
Tm 0.811 0.562 0.124
Tl 0.795 0.046 0.091
Tl 0.205 0.954 0.909
Tl 0.385 0.635 0.270
Tl 0.615 0.365 0.730
Tl 0.007 0.755 0.510
Tl 0.993 0.245 0.490

Values from the calculation:
raw total energy	-25.939	eV for the cell shown
crystal system	monoclinic
formation energy from the elements	-0.0160	eV per atom
mass density	8.938	g cm⁻³